Entry 1:
## Li3BiP2O8 (SCAN)

Data for a crystal of Li3BiP2O8 relaxed with PBEsol.

The structure in extended XYZ format:
```
14
Lattice="4.296 -2.835 0.000 4.296 2.835 0.000 -0.397 0.000 6.241" Properties=species:S:1:pos:R:3 pbc="T T T"
Li 0.000 0.000 0.000
Li 2.812 0.000 1.218
Li 5.383 0.000 5.023
Bi -0.198 0.000 3.120
P 2.754 0.000 4.591
P 5.441 0.000 1.650
O 1.628 0.000 5.619
O 3.698 1.235 4.792
O 2.192 0.000 3.141
O 4.497 1.235 1.448
O 3.698 -1.235 4.792
O 6.003 0.000 3.099
O 4.497 -1.235 1.448
O 6.567 0.000 0.622
```

Properties
Formation energy without anion corrections (meV/atom): -2330
Uncorrected energy (Ry/atom): -0.99235
Symmetry: C2/m (12)
Fermi-level density of states (states/eV per cell): 0.00

=====

Entry 2:
## YNi3P2 (SCAN)

Data for a crystal of YNi3P2 relaxed with PBEsol.

The structure in extended XYZ format:
```
18
Lattice="8.659 0.000 0.000 -4.329 7.499 0.000 0.000 0.000 3.586" Properties=species:S:1:pos:R:3 pbc="T T T"
Y 0.000 0.000 0.000
Y 0.000 4.999 1.793
Y 4.329 2.500 1.793
Ni -1.239 2.146 1.793
Ni -2.165 3.749 0.000
Ni -3.090 5.353 1.793
Ni 2.478 0.000 1.793
Ni 1.239 2.146 1.793
Ni 4.329 0.000 0.000
Ni 2.165 3.749 0.000
Ni 6.181 0.000 1.793
Ni 3.090 5.353 1.793
P 0.000 2.865 0.000
P -1.848 6.066 0.000
P 2.481 1.433 0.000
P 1.848 6.066 0.000
P 6.177 1.433 0.000
P 4.329 4.633 0.000
```

Properties
Energy of formation from the pure elements (eV/atom): -0.927
Uncorrected energy (Ry/atom): -1.25835
Symmetry: P6/mmm (191)
Fermi-level density of states (states/eV per cell): 5.67

=====

Entry 3:
## SiPRu2 (SCAN)

Data for a crystal of SiPRu2 relaxed with PBEsol.

The structure in extended XYZ format:
```
4
Lattice="2.918 0.000 0.000 0.000 2.918 0.000 0.000 0.000 5.816" Properties=species:S:1:pos:R:3 pbc="T T T"
Si 0.000 0.000 0.000
P 0.000 0.000 2.908
Ru 1.459 1.459 1.446
Ru 1.459 1.459 4.371
```

Properties
Formation energy without anion corrections (meV/atom): -444
Uncorrected energy (Ry/atom): -1.68762
Symmetry: P4/mmm (123)
Fermi-level density of states (states/eV per cell): 1.48

=====

Entry 4:
## SiC3Cl (SCAN)

Data for a crystal of SiC3Cl relaxed with PBEsol.

The structure in extended XYZ format:
```
5
Lattice="3.821 0.000 0.000 0.000 3.821 0.000 0.000 0.000 3.821" Properties=species:S:1:pos:R:3 pbc="T T T"
Si 0.000 0.000 0.000
C 0.000 0.000 1.911
C 0.000 1.911 0.000
C 1.911 0.000 0.000
Cl 1.911 1.911 1.911
```

Properties
Formation energy without anion corrections (meV/atom): 2395
Uncorrected energy (Ry/atom): -0.53390
Symmetry: Pm-3m (221)
Fermi-level density of states (states/eV per cell): 2.64

=====

Entry 5:
## MgTl2In (SCAN)

Data for a crystal of MgTl2In relaxed with PBEsol.

The structure in extended XYZ format:
```
4
Lattice="3.834 0.000 0.000 0.000 3.834 0.000 0.000 0.000 6.969" Properties=species:S:1:pos:R:3 pbc="T T T"
Mg 0.000 0.000 0.000
Tl 1.917 1.917 1.696
Tl 1.917 1.917 5.273
In 0.000 0.000 3.484
```

Properties
Energy of formation from the pure elements (eV/atom): 0.004
Uncorrected energy (Ry/atom): -3.36371
Symmetry: P4/mmm (123)
Fermi-level density of states (states/eV per cell): 1.51

=====

Entry 6:
## La2CdW (SCAN)

Data for a crystal of La2CdW relaxed with PBEsol.

The structure in extended XYZ format:
```
4
Lattice="3.119 0.000 0.000 0.000 3.633 0.000 0.000 0.000 8.939" Properties=species:S:1:pos:R:3 pbc="T T T"
La 0.000 0.000 1.960
La 0.000 0.000 6.980
Cd 1.560 1.817 4.470
W 1.560 1.817 0.000
```

Properties
Energy of formation from the pure elements (eV/atom): 0.322
Uncorrected energy (Ry/atom): -3.39979
Symmetry: Pmmm (47)
Fermi-level density of states (states/eV per cell): 2.97

=====

Entry 7:
## Zr3ScN (SCAN)

Data for a crystal of Zr3ScN relaxed with PBEsol.

The structure in extended XYZ format:
```
5
Lattice="4.516 0.000 0.000 0.000 4.516 0.000 0.000 0.000 4.516" Properties=species:S:1:pos:R:3 pbc="T T T"
Zr 0.000 0.000 2.258
Zr 0.000 2.258 0.000
Zr 2.258 0.000 0.000
Sc 2.258 2.258 2.258
N 0.000 0.000 0.000
```

Properties
Formation energy without anion corrections (meV/atom): -807
Uncorrected energy (Ry/atom): -1.75895
Symmetry: Pm-3m (221)
Fermi-level density of states (states/eV per cell): 4.22

=====

Entry 8:
## Ag2HgPt (SCAN)

Data for a crystal of Ag2HgPt relaxed with PBEsol.

The structure in extended XYZ format:
```
4
Lattice="4.828 -1.462 0.000 4.828 1.462 0.000 -0.932 0.000 4.788" Properties=species:S:1:pos:R:3 pbc="T T T"
Ag 2.144 0.000 1.163
Ag 6.580 0.000 3.625
Hg -0.466 0.000 2.394
Pt 4.828 0.000 0.000
```

Properties
Energy of formation from the pure elements (eV/atom): 0.017
Uncorrected energy (Ry/atom): -3.69376
Symmetry: C2/m (12)
Fermi-level density of states (states/eV per cell): 1.04

=====

Entry 9:
## ZrMnTe2N (SCAN)

Data for a crystal of ZrMnTe2N relaxed with PBEsol.

The structure in extended XYZ format:
```
5
Lattice="5.678 0.000 0.000 0.000 5.678 0.000 0.000 0.000 3.914" Properties=species:S:1:pos:R:3 pbc="T T T"
Zr 0.000 0.000 0.000
Mn 2.839 2.839 1.957
Te 0.000 2.839 0.000
Te 2.839 0.000 0.000
N 0.000 0.000 1.957
```

Properties
Formation energy without anion corrections (meV/atom): -50
Uncorrected energy (Ry/atom): -1.95501
Symmetry: P4/mmm (123)
Fermi-level density of states (states/eV per cell): 1.98

=====

Entry 10:
## YZrAs2 (SCAN)

Data for a crystal of YZrAs2 relaxed with PBEsol.

The structure in extended XYZ format:
```
4
Lattice="3.936 0.000 0.000 0.000 3.936 0.000 0.000 0.000 5.544" Properties=species:S:1:pos:R:3 pbc="T T T"
Y 0.000 0.000 0.000
Zr 1.968 1.968 2.772
As 0.000 0.000 2.772
As 1.968 1.968 0.000
```

Properties
Energy of formation from the pure elements (eV/atom): -1.454
Uncorrected energy (Ry/atom): -1.92454
Symmetry: P4/mmm (123)
Fermi-level density of states (states/eV per cell): 1.25

=====

Entry 11:
## Y2CoSe (SCAN)

Data for a crystal of Y2CoSe relaxed with PBEsol.

The structure in extended XYZ format:
```
4
Lattice="4.028 0.000 0.000 0.000 1.911 5.220 0.000 -1.911 5.220" Properties=species:S:1:pos:R:3 pbc="T T T"
Y 0.000 0.000 0.000
Y 2.014 0.000 2.969
Co 2.014 0.000 5.782
Se 0.000 0.000 7.439
```

Properties
Formation energy without anion corrections (meV/atom): -920
Uncorrected energy (Ry/atom): -1.77773
Symmetry: Amm2 (38)
Fermi-level density of states (states/eV per cell): 2.20

=====

Entry 12:
## ZnFeCo (SCAN)

Data for a crystal of ZnFeCo relaxed with PBEsol.

The structure in extended XYZ format:
```
3
Lattice="-1.277 1.762 3.785 1.277 -1.762 3.785 1.277 1.762 -3.785" Properties=species:S:1:pos:R:3 pbc="T T T"
Zn 0.000 0.000 0.000
Fe 0.000 0.000 2.485
Co 0.000 0.000 5.054
```

Properties
Energy of formation from the pure elements (eV/atom): -0.009
Uncorrected energy (Ry/atom): -1.19989
Symmetry: Imm2 (44)
Fermi-level density of states (states/eV per cell): 1.54

=====

Entry 13:
## LaIrF2 (SCAN)

Data for a crystal of LaIrF2 relaxed with PBEsol.

The structure in extended XYZ format:
```
8
Lattice="-2.017 2.017 8.034 2.017 -2.017 8.034 2.017 2.017 -8.034" Properties=species:S:1:pos:R:3 pbc="T T T"
La 0.000 0.000 0.000
La 0.000 2.017 4.017
Ir 2.017 0.000 4.017
Ir 0.000 0.000 8.034
F 1.009 -0.912 6.025
F 1.106 1.009 2.008
F 1.009 2.929 -2.008
F 0.912 1.009 10.042
```

Properties
Formation energy without anion corrections (meV/atom): -1738
Uncorrected energy (Ry/atom): -2.35629
Symmetry: I-42d (122)
Fermi-level density of states (states/eV per cell): 2.09

=====

Entry 14:
## TaHgMo (SCAN)

Data for a crystal of TaHgMo relaxed with PBEsol.

The structure in extended XYZ format:
```
3
Lattice="2.875 0.000 0.000 -1.437 2.490 0.000 0.000 0.000 7.402" Properties=species:S:1:pos:R:3 pbc="T T T"
Ta 0.000 0.000 0.000
Hg 0.000 1.660 4.881
Mo 1.437 0.830 2.434
```

Properties
Energy of formation from the pure elements (eV/atom): 0.457
Uncorrected energy (Ry/atom): -4.12240
Symmetry: P3m1 (156)
Fermi-level density of states (states/eV per cell): 2.50

=====

Entry 15:
## Ba3Au (SCAN)

Data for a crystal of Ba3Au relaxed with PBEsol.

The structure in extended XYZ format:
```
4
Lattice="-2.496 2.496 6.107 2.496 -2.496 6.107 2.496 2.496 -6.107" Properties=species:S:1:pos:R:3 pbc="T T T"
Ba 0.000 0.000 0.000
Ba 2.496 0.000 3.054
Ba 0.000 2.496 3.054
Au 0.000 0.000 6.107
```

Properties
Energy of formation from the pure elements (eV/atom): -0.134
Uncorrected energy (Ry/atom): -3.46076
Symmetry: I4/mmm (139)
Fermi-level density of states (states/eV per cell): 3.69

=====

Entry 16:
## CeNiSnH2 (SCAN)

Data for a crystal of CeNiSnH2 relaxed with PBEsol.

The structure in extended XYZ format:
```
10
Lattice="4.301 0.000 0.000 -2.151 3.725 0.000 0.000 0.000 8.236" Properties=species:S:1:pos:R:3 pbc="T T T"
Ce 0.000 0.000 0.000
Ce 0.000 0.000 4.118
Ni 0.000 2.483 2.059
Ni 2.151 1.242 6.177
Sn 0.000 2.483 6.177
Sn 2.151 1.242 2.059
H 0.000 2.483 0.449
H 0.000 2.483 3.669
H 2.151 1.242 4.567
H 2.151 1.242 7.787
```

Properties
Uncorrected energy (Ry/atom): -1.56687
Symmetry: P6_3/mmc (194)
Fermi-level density of states (states/eV per cell): 7.37

=====

Entry 17:
## RbLiAsC2 (SCAN)

Data for a crystal of RbLiAsC2 relaxed with PBEsol.

The structure in extended XYZ format:
```
5
Lattice="5.162 0.000 0.000 0.000 5.162 0.000 0.000 0.000 6.778" Properties=species:S:1:pos:R:3 pbc="T T T"
Rb 0.000 0.000 0.000
Li 2.581 2.581 3.389
As 0.000 0.000 3.389
C 0.000 2.581 0.000
C 2.581 0.000 0.000
```

Properties
Energy of formation from the pure elements (eV/atom): 2.893
Uncorrected energy (Ry/atom): -0.72109
Symmetry: P4/mmm (123)
Fermi-level density of states (states/eV per cell): 3.02

=====

Entry 18:
## Cs2HgSe2 (SCAN)

Data for a crystal of Cs2HgSe2 relaxed with PBEsol.

The structure in extended XYZ format:
```
10
Lattice="8.757 0.000 0.000 0.000 8.757 0.000 0.000 0.000 4.897" Properties=species:S:1:pos:R:3 pbc="T T T"
Cs 1.628 2.750 0.000
Cs 2.750 7.129 0.000
Cs 6.007 1.628 0.000
Cs 7.129 6.007 0.000
Hg 0.000 0.000 2.448
Hg 4.378 4.378 2.448
Se 0.846 5.224 2.448
Se 3.533 0.846 2.448
Se 5.224 7.911 2.448
Se 7.911 3.533 2.448
```

Properties
Formation energy without anion corrections (meV/atom): -895
Uncorrected energy (Ry/atom): -2.76968
Symmetry: P4/mbm (127)

=====

Entry 19:
## Co (SCAN)

Data for a crystal of Co relaxed with PBEsol.

The structure in extended XYZ format:
```
8
Lattice="4.387 0.000 0.000 0.000 4.387 0.000 0.000 0.000 4.387" Properties=species:S:1:pos:R:3 pbc="T T T"
Co 0.000 0.000 0.000
Co 0.000 1.097 2.194
Co 0.000 3.291 2.194
Co 1.097 2.194 0.000
Co 2.194 0.000 1.097
Co 2.194 0.000 3.291
Co 2.194 2.194 2.194
Co 3.291 2.194 0.000
```

Properties
Energy of formation from the pure elements (eV/atom): 0.112
Uncorrected energy (Ry/atom): -1.26357
Symmetry: Pm-3n (223)
Fermi-level density of states (states/eV per cell): 8.49

=====

Entry 20:
## Ta2WAu (SCAN)

Data for a crystal of Ta2WAu relaxed with PBEsol.

The structure in extended XYZ format:
```
4
Lattice="1.656 -2.223 0.000 1.656 2.223 0.000 0.000 0.000 9.106" Properties=species:S:1:pos:R:3 pbc="T T T"
Ta 0.000 0.000 2.246
Ta 0.000 0.000 6.859
W 1.656 0.000 0.000
Au 1.656 0.000 4.553
```

Properties
Energy of formation from the pure elements (eV/atom): -0.111
Uncorrected energy (Ry/atom): -5.00626
Symmetry: Cmmm (65)
Fermi-level density of states (states/eV per cell): 1.85

=====

Entry 21:
## Ca2CdH2 (SCAN)

Data for a crystal of Ca2CdH2 relaxed with PBEsol.

The structure in extended XYZ format:
```
5
Lattice="-1.913 1.913 6.279 1.913 -1.913 6.279 1.913 1.913 -6.279" Properties=species:S:1:pos:R:3 pbc="T T T"
Ca 0.000 0.000 1.928
Ca 0.000 0.000 10.630
Cd 0.000 0.000 6.279
H 1.913 0.000 3.139
H 0.000 1.913 3.139
```

Properties
Uncorrected energy (Ry/atom): -0.87108
Symmetry: I4/mmm (139)
Fermi-level density of states (states/eV per cell): 1.89

=====

Entry 22:
## CaHf2BeRh (SCAN)

Data for a crystal of CaHf2BeRh relaxed with PBEsol.

The structure in extended XYZ format:
```
5
Lattice="4.791 0.000 0.000 0.000 4.791 0.000 0.000 0.000 4.166" Properties=species:S:1:pos:R:3 pbc="T T T"
Ca 0.000 0.000 0.000
Hf 0.000 2.396 2.083
Hf 2.396 0.000 2.083
Be 2.396 2.396 2.083
Rh 2.396 2.396 0.000
```

Properties
Energy of formation from the pure elements (eV/atom): 0.195
Uncorrected energy (Ry/atom): -2.53073
Symmetry: P4/mmm (123)
Fermi-level density of states (states/eV per cell): 3.66

=====

Entry 23:
## Y2MgCd2 (SCAN)

Data for a crystal of Y2MgCd2 relaxed with PBEsol.

The structure in extended XYZ format:
```
5
Lattice="-2.005 2.005 8.537 2.005 -2.005 8.537 2.005 2.005 -8.537" Properties=species:S:1:pos:R:3 pbc="T T T"
Y 0.000 0.000 1.740
Y 0.000 0.000 15.334
Mg 0.000 0.000 8.537
Cd 2.005 0.000 4.268
Cd 0.000 2.005 4.268
```

Properties
Energy of formation from the pure elements (eV/atom): 0.035
Uncorrected energy (Ry/atom): -1.78328
Symmetry: I4/mmm (139)
Fermi-level density of states (states/eV per cell): 3.94

=====

Entry 24:
## Sm5Se9 (SCAN)

Data for a crystal of Sm5Se9 relaxed with PBEsol.

The structure in extended XYZ format:
```
28
Lattice="8.956 0.000 0.000 -0.038 9.059 0.000 -1.768 -3.580 8.309" Properties=species:S:1:pos:R:3 pbc="T T T"
Sm -0.382 1.366 2.307
Sm 0.437 -1.391 6.149
Sm 1.275 4.957 2.201
Sm 2.238 2.296 6.035
Sm 3.134 -0.424 2.347
Sm 4.016 5.903 5.962
Sm 4.912 3.183 2.275
Sm 5.875 0.522 6.108
Sm 6.713 6.870 2.160
Sm 7.532 4.113 6.002
Se 0.358 3.090 0.014
Se -0.420 1.398 5.308
Se 0.445 7.689 3.103
Se -0.490 -3.452 8.295
Se 1.294 4.966 5.243
Se 2.263 2.275 3.070
Se 3.191 4.125 0.003
Se 4.151 1.220 0.002
Se 3.178 -0.437 5.320
Se 3.972 5.917 2.989
Se 2.999 4.259 8.307
Se 3.959 1.355 8.306
Se 4.887 3.204 5.240
Se 5.856 0.513 3.067
Se 7.640 8.931 0.014
Se 6.705 -2.210 5.207
Se 7.570 4.081 3.001
Se 6.792 2.389 8.295
```

Properties
Formation energy without anion corrections (meV/atom): -1906
Uncorrected energy (Ry/atom): -2.25538
Symmetry: P-1 (2)
Fermi-level density of states (states/eV per cell): 4.12

=====

Entry 25:
## EuSi2PdAu (SCAN)

Data for a crystal of EuSi2PdAu relaxed with PBEsol.

The structure in extended XYZ format:
```
5
Lattice="-2.118 2.118 4.987 2.118 -2.118 4.987 2.118 2.118 -4.987" Properties=species:S:1:pos:R:3 pbc="T T T"
Eu 0.000 0.000 0.000
Si 0.000 0.000 3.816
Si 0.000 0.000 6.158
Pd 2.118 0.000 2.494
Au 0.000 2.118 2.494
```

Properties
Formation energy without anion corrections (meV/atom): -772
Uncorrected energy (Ry/atom): -2.63913
Symmetry: I-4m2 (119)
Fermi-level density of states (states/eV per cell): 6.73

=====

Entry 26:
## YCdI2N (SCAN)

Data for a crystal of YCdI2N relaxed with PBEsol.

The structure in extended XYZ format:
```
5
Lattice="5.882 0.000 0.000 0.000 5.882 0.000 0.000 0.000 4.009" Properties=species:S:1:pos:R:3 pbc="T T T"
Y 0.000 0.000 0.000
Cd 2.941 2.941 2.005
I 0.000 2.941 2.005
I 2.941 0.000 2.005
N 2.941 2.941 0.000
```

Properties
Formation energy without anion corrections (meV/atom): 299
Uncorrected energy (Ry/atom): -2.05115
Symmetry: P4/mmm (123)
Fermi-level density of states (states/eV per cell): 4.34